1.
Compound: Mg3MoAs
Source: the Alexandria database
Functional: GGA-PBE
Structure: optimized geometry

Structure (CIF):
```
data_Mg3MoAs
_cell_length_a 5.1747
_cell_length_b 5.1747
_cell_length_c 5.1747
_cell_angle_alpha 90.00
_cell_angle_beta 90.00
_cell_angle_gamma 90.00
_symmetry_space_group_name_H-M 'P m -3 m'
_symmetry_Int_Tables_number 221
_symmetry_space_group_name_Hall '-P 4 2 3'
loop_
_atom_site_label
_atom_site_type_symbol
_atom_site_fract_x
_atom_site_fract_y
_atom_site_fract_z
Mg1 Mg 0.0000 0.0000 0.5000
Mo1 Mo 0.0000 0.0000 0.0000
As1 As 0.5000 0.5000 0.5000
```

VASP energy	-14.29	eV per cell
energy above the lowest structure with this stoichiometry	466.3	meV per atom

=====

2.
Compound: MgMoAs2
Source: the Alexandria database
Functional: GGA-PBE
Structure: optimized geometry

Structure (CIF):
```
data_MgMoAs2
_cell_length_a 3.2329
_cell_length_b 3.2329
_cell_length_c 6.6200
_cell_angle_alpha 90.00
_cell_angle_beta 90.00
_cell_angle_gamma 90.00
_symmetry_space_group_name_H-M 'P 4/m m m'
_symmetry_Int_Tables_number 123
_symmetry_space_group_name_Hall '-P 4 2'
loop_
_atom_site_label
_atom_site_type_symbol
_atom_site_fract_x
_atom_site_fract_y
_atom_site_fract_z
Mg1 Mg 0.0000 0.0000 0.0000
Mo1 Mo 0.0000 0.0000 0.5000
As1 As 0.5000 0.5000 0.2817
```

VASP energy	-22.65	eV per cell

=====

3.
Compound: MgMo4As
Source: the Alexandria database
Functional: GGA-PBE
Structure: optimized geometry

Structure (CIF):
```
data_MgMo4As
_cell_length_a 7.4796
_cell_length_b 7.4796
_cell_length_c 7.4796
_cell_angle_alpha 90.00
_cell_angle_beta 90.00
_cell_angle_gamma 90.00
_symmetry_space_group_name_H-M 'F -4 3 m'
_symmetry_Int_Tables_number 216
_symmetry_space_group_name_Hall 'F -4 2 3'
loop_
_atom_site_label
_atom_site_type_symbol
_atom_site_fract_x
_atom_site_fract_y
_atom_site_fract_z
Mg1 Mg 0.0000 0.0000 0.0000
Mo1 Mo 0.1252 0.1252 0.3748
As1 As 0.2500 0.2500 0.7500
```

VASP energy	-186.61	eV per cell

=====

4.
Compound: MgMoAs2
Source: the Alexandria database
Functional: GGA-PBE
Structure: optimized geometry

Structure (CIF):
```
data_MgMoAs2
_cell_length_a 3.4480
_cell_length_b 4.5545
_cell_length_c 10.0450
_cell_angle_alpha 90.00
_cell_angle_beta 90.00
_cell_angle_gamma 90.00
_symmetry_space_group_name_H-M 'C m m 2'
_symmetry_Int_Tables_number 35
_symmetry_space_group_name_Hall 'C 2 -2'
loop_
_atom_site_label
_atom_site_type_symbol
_atom_site_fract_x
_atom_site_fract_y
_atom_site_fract_z
Mg1 Mg 0.0000 0.0000 0.0000
Mo1 Mo 0.0000 0.5000 0.7709
As1 As 0.0000 0.0000 0.5805
As2 As 0.0000 0.5000 0.2198
```

VASP energy	-42.53	eV per cell

=====

5.
Compound: MgMoAs2
Source: the Alexandria database
Functional: GGA-PBE
Structure: optimized geometry

Structure (CIF):
```
data_MgMoAs2
_cell_length_a 3.8216
_cell_length_b 3.8216
_cell_length_c 9.5152
_cell_angle_alpha 90.00
_cell_angle_beta 90.00
_cell_angle_gamma 90.00
_symmetry_space_group_name_H-M 'I -4 m 2'
_symmetry_Int_Tables_number 119
_symmetry_space_group_name_Hall 'I -4 -2'
loop_
_atom_site_label
_atom_site_type_symbol
_atom_site_fract_x
_atom_site_fract_y
_atom_site_fract_z
Mg1 Mg 0.0000 0.0000 0.0000
Mo1 Mo 0.0000 0.5000 0.7500
As1 As 0.0000 0.0000 0.5000
As2 As 0.0000 0.5000 0.2500
```

VASP energy	-42.42	eV per cell

=====

6.
Compound: MgMoAs2
Source: the Alexandria database
Functional: GGA-PBE
Structure: optimized geometry

Structure (CIF):
```
data_MgMoAs2
_cell_length_a 3.4167
_cell_length_b 3.4167
_cell_length_c 21.7124
_cell_angle_alpha 90.00
_cell_angle_beta 90.00
_cell_angle_gamma 120.00
_symmetry_space_group_name_H-M 'R -3 m'
_symmetry_Int_Tables_number 166
_symmetry_space_group_name_Hall '-R 3 2"'
loop_
_atom_site_label
_atom_site_type_symbol
_atom_site_fract_x
_atom_site_fract_y
_atom_site_fract_z
Mg1 Mg 0.0000 0.0000 0.0000
Mo1 Mo 0.0000 0.0000 0.5000
As1 As 0.0000 0.0000 0.2437
```

VASP energy	-67.94	eV per cell

=====

7.
Compound: MgMoAs2
Source: the Alexandria database
Functional: GGA-PBE
Structure: optimized geometry

Structure (CIF):
```
data_MgMoAs2
_cell_length_a 3.3979
_cell_length_b 4.7697
_cell_length_c 4.8510
_cell_angle_alpha 90.00
_cell_angle_beta 109.94
_cell_angle_gamma 90.00
_symmetry_space_group_name_H-M 'P 1 m 1'
_symmetry_Int_Tables_number 6
_symmetry_space_group_name_Hall 'P -2y'
loop_
_atom_site_label
_atom_site_type_symbol
_atom_site_fract_x
_atom_site_fract_y
_atom_site_fract_z
Mg1 Mg 0.0000 0.0000 0.0000
Mo1 Mo 0.6193 0.5000 0.2562
As1 As 0.3398 0.5000 0.7063
As2 As 0.7152 0.0000 0.4446
```

VASP energy	-21.97	eV per cell

=====

8.
Compound: Mg3MoAs
Source: the Alexandria database
Functional: GGA-PBE
Structure: optimized geometry

Structure (CIF):
```
data_Mg3MoAs
_cell_length_a 4.9819
_cell_length_b 4.9819
_cell_length_c 4.9819
_cell_angle_alpha 90.00
_cell_angle_beta 90.00
_cell_angle_gamma 90.00
_symmetry_space_group_name_H-M 'P m -3 m'
_symmetry_Int_Tables_number 221
_symmetry_space_group_name_Hall '-P 4 2 3'
loop_
_atom_site_label
_atom_site_type_symbol
_atom_site_fract_x
_atom_site_fract_y
_atom_site_fract_z
Mg1 Mg 0.0000 0.0000 0.5000
Mo1 Mo 0.5000 0.5000 0.5000
As1 As 0.0000 0.0000 0.0000
```

VASP energy	-16.62	eV per cell
energy above the lowest structure with this stoichiometry	0.0	meV per atom

=====

9.
Compound: MgMoAs4
Source: the Alexandria database
Functional: GGA-PBE
Structure: optimized geometry

Structure (CIF):
```
data_MgMoAs4
_cell_length_a 7.7074
_cell_length_b 7.7074
_cell_length_c 7.7074
_cell_angle_alpha 90.00
_cell_angle_beta 90.00
_cell_angle_gamma 90.00
_symmetry_space_group_name_H-M 'F -4 3 m'
_symmetry_Int_Tables_number 216
_symmetry_space_group_name_Hall 'F -4 2 3'
loop_
_atom_site_label
_atom_site_type_symbol
_atom_site_fract_x
_atom_site_fract_y
_atom_site_fract_z
Mg1 Mg 0.0000 0.0000 0.0000
Mo1 Mo 0.2500 0.2500 0.7500
As1 As 0.1235 0.1235 0.3765
```

VASP energy	-109.45	eV per cell

=====

10.
Compound: MgMoAs2
Source: the Alexandria database
Functional: GGA-PBE
Structure: optimized geometry

Structure (CIF):
```
data_MgMoAs2
_cell_length_a 6.5160
_cell_length_b 6.5160
_cell_length_c 6.5160
_cell_angle_alpha 90.00
_cell_angle_beta 90.00
_cell_angle_gamma 90.00
_symmetry_space_group_name_H-M 'F -4 3 m'
_symmetry_Int_Tables_number 216
_symmetry_space_group_name_Hall 'F -4 2 3'
loop_
_atom_site_label
_atom_site_type_symbol
_atom_site_fract_x
_atom_site_fract_y
_atom_site_fract_z
Mg1 Mg 0.0000 0.0000 0.0000
Mo1 Mo 0.2500 0.2500 0.7500
As1 As 0.0000 0.0000 0.5000
As2 As 0.2500 0.2500 0.2500
```

VASP energy	-78.98	eV per cell

=====

11.
Compound: Mg2MoAs2
Source: the Alexandria database
Functional: GGA-PBE
Structure: optimized geometry

Structure (CIF):
```
data_Mg2MoAs2
_cell_length_a 6.6649
_cell_length_b 6.6649
_cell_length_c 4.0116
_cell_angle_alpha 90.00
_cell_angle_beta 90.00
_cell_angle_gamma 90.00
_symmetry_space_group_name_H-M 'P 4/m b m'
_symmetry_Int_Tables_number 127
_symmetry_space_group_name_Hall '-P 4 2ab'
loop_
_atom_site_label
_atom_site_type_symbol
_atom_site_fract_x
_atom_site_fract_y
_atom_site_fract_z
Mg1 Mg 0.1712 0.3288 0.0000
Mo1 Mo 0.0000 0.0000 0.5000
As1 As 0.1411 0.6411 0.5000
```

VASP energy	-49.02	eV per cell

=====

12.
Compound: MgMoAs2
Source: the Alexandria database
Functional: GGA-PBE
Structure: optimized geometry

Structure (CIF):
```
data_MgMoAs2
_cell_length_a 3.2416
_cell_length_b 3.2413
_cell_length_c 6.6158
_cell_angle_alpha 90.00
_cell_angle_beta 95.13
_cell_angle_gamma 90.00
_symmetry_space_group_name_H-M 'P 1 2/m 1'
_symmetry_Int_Tables_number 10
_symmetry_space_group_name_Hall '-P 2y'
loop_
_atom_site_label
_atom_site_type_symbol
_atom_site_fract_x
_atom_site_fract_y
_atom_site_fract_z
Mg1 Mg 0.0000 0.0000 0.0000
Mo1 Mo 0.0000 0.0000 0.5000
As1 As 0.4685 0.5000 0.2818
```

VASP energy	-22.67	eV per cell

=====

Question: The highest VASP energy belongs to which entry?
Answer: number 1